# LiCoH2F8 (PBE+U, optimized geometry)
# M_tot = 2.03 Bohr magnetons per cell
# VASP energy = -0.29817 Ry per atom
data_LiCoH2F8
_cell_length_a 4.6527
_cell_length_b 4.8914
_cell_length_c 6.0276
_cell_angle_alpha 79.08
_cell_angle_beta 89.79
_cell_angle_gamma 86.01
_space_group_name_H-M_alt 'P -1'
_space_group_IT_number 2
loop_
_space_group_symop_operation_xyz
'x,y,z'
'-x,-y,-z'
loop_
_atom_site_label
_atom_site_fract_x
_atom_site_fract_y
_atom_site_fract_z
Li1 0.0000 0.0000 0.0000
Co1 0.0000 0.0000 0.5000
H1 0.2473 0.4892 0.8458
F1 0.2070 0.8377 0.3035
F2 0.2095 0.8103 0.7419
F3 0.2322 0.2641 0.4690
F4 0.2676 0.3089 0.9456